Entry 1:
Pm2MgBePt6 | PBE-GGA | optimized geometry

Properties
Energy relative to the elements, eV per atom: -0.82
Raw total energy, eV/atom: -5.923
Space-group type: R-3m
Magnetic moment, μB/f.u.: 0.00

a = 7.560 Å, b = 7.560 Å, c = 7.560 Å
α = 44.28°, β = 44.28°, γ = 44.28°
Positions (direct):
Pm  0.213  0.213  0.213
Pm  0.787  0.787  0.787
Mg  0.500  0.500  0.500
Be  0.000  0.000  0.000
Pt  0.239  0.239  0.725
Pt  0.239  0.725  0.239
Pt  0.275  0.761  0.761
Pt  0.725  0.239  0.239
Pt  0.761  0.275  0.761
Pt  0.761  0.761  0.275



Entry 2:
Pm2MgBe4Si3 | PBE-GGA | optimized geometry

Properties
Raw total energy, eV/atom: -4.558
Space-group type: P-4m2
Magnetic moment, μB/f.u.: 0.00

a = 3.978 Å, b = 3.978 Å, c = 9.947 Å
α = 90.00°, β = 90.00°, γ = 90.00°
Positions (direct):
Pm  0.000  0.500  0.238
Pm  0.500  0.000  0.762
Mg  0.000  0.000  0.500
Be  0.000  0.000  0.000
Be  0.000  0.500  0.645
Be  0.500  0.000  0.355
Be  0.500  0.500  0.000
Si  0.000  0.500  0.873
Si  0.500  0.000  0.127
Si  0.500  0.500  0.500



Entry 3:
PmMg2BeSi2 | PBE-GGA | optimized geometry

Properties
Raw total energy, eV/atom: -3.754
Space-group type: I4/mmm
Magnetic moment, μB/f.u.: 0.00

a = 4.195 Å, b = 4.195 Å, c = 14.741 Å
α = 90.00°, β = 90.00°, γ = 90.00°
Positions (direct):
Pm  0.000  0.000  0.000
Pm  0.500  0.500  0.500
Mg  0.000  0.500  0.250
Mg  0.000  0.500  0.750
Mg  0.500  0.000  0.250
Mg  0.500  0.000  0.750
Be  0.000  0.000  0.500
Be  0.500  0.500  0.000
Si  0.000  0.000  0.363
Si  0.000  0.000  0.637
Si  0.500  0.500  0.137
Si  0.500  0.500  0.863



Entry 4:
PmTmMgBe | PBE-GGA | optimized geometry

Properties
Energy relative to the elements, eV per atom: 0.10
Raw total energy, eV/atom: -3.535
Space-group type: F-43m
Magnetic moment, μB/f.u.: 0.00

a = 7.236 Å, b = 7.236 Å, c = 7.236 Å
α = 90.00°, β = 90.00°, γ = 90.00°
Positions (direct):
Pm  0.000  0.000  0.000
Pm  0.000  0.500  0.500
Pm  0.500  0.000  0.500
Pm  0.500  0.500  0.000
Tm  0.000  0.000  0.500
Tm  0.000  0.500  0.000
Tm  0.500  0.000  0.000
Tm  0.500  0.500  0.500
Mg  0.250  0.250  0.750
Mg  0.250  0.750  0.250
Mg  0.750  0.250  0.250
Mg  0.750  0.750  0.750
Be  0.250  0.250  0.250
Be  0.250  0.750  0.750
Be  0.750  0.250  0.750
Be  0.750  0.750  0.250



> Look up the raw total energy of the third one.

-3.754 eV/atom



> The highest raw total energy belongs to which entry?

PmTmMgBe